Computed, not measured: a geometry-optimized SrMnAu structure at the PBE level of DFT.

Results
D(E_F) (states/eV per cell): 2.8
Theoretical density (g/cm³): 6.546
ΔH_f (0 K) (eV per atom): 0.067
Space-group type: F-43m (216)

Cell: 4.957 4.957 4.957 Å, 60.00 60.00 60.00°
Last column: magnetic moment on the atom in μB.
Sites, in units of the cell vectors:
Au: 0.250 0.250 0.250  0.04
Mn: 0.000 0.000 0.000  4.16
Sr: 0.500 0.500 0.500  -0.02